Material: SrLa3Os
Method: DFT, PBE
State: relaxed

a = 10.2455 Å, b = 7.1801 Å, c = 10.7040 Å
α = 90.00°, β = 100.39°, γ = 90.00°
Atoms (fractional coordinates):
Sr 0.0706 0.0935 0.1881
Sr 0.0706 0.4065 0.6881
Sr 0.9294 0.5935 0.3119
Sr 0.9294 0.9065 0.8119
La 0.1855 0.5950 0.0591
La 0.1855 0.9050 0.5591
La 0.3216 0.0706 0.9360
La 0.3216 0.4294 0.4360
La 0.4425 0.5860 0.8256
La 0.4425 0.9140 0.3256
La 0.5575 0.0860 0.6744
La 0.5575 0.4140 0.1744
La 0.6784 0.5706 0.5640
La 0.6784 0.9294 0.0640
La 0.8145 0.0950 0.4409
La 0.8145 0.4050 0.9409
Os 0.4210 0.7433 0.5728
Os 0.4210 0.7567 0.0728
Os 0.5790 0.2433 0.9272
Os 0.5790 0.2567 0.4272

## Properties
VASP energy = -5.61 eV/atom
magnetization = 0.0 μB per formula unit
DFT formation energy = -72 meV per atom
offset from the most stable computed form = 0.0120 eV/atom